# SmSc2TlO PBE optimized geometry
# - Raw formation energy: -129.3 kJ/mol of atoms
# - Density of states at the Fermi level: 0.6007 states/eV per atom
# - Symmetry: P4/mmm
data_SmSc2TlO
_chemical_formula_sum 'Sm1 Sc2 Tl1 O1'
_cell_length_a 4.8562
_cell_length_b 4.5366
_cell_length_c 4.5366
_cell_angle_alpha 90.00
_cell_angle_beta 90.00
_cell_angle_gamma 90.00
_space_group_name_H-M_alt 'P 1'
_space_group_IT_number 1
loop_
_space_group_symop_operation_xyz
'x,y,z'
loop_
_atom_site_label
_atom_site_type_symbol
_atom_site_fract_x
_atom_site_fract_y
_atom_site_fract_z
_atom_site_occupancy
Sm1 Sm 0.5000 0.0000 0.0000 1
Sc1 Sc 0.0000 0.0000 0.5000 1
Sc2 Sc 0.0000 0.5000 0.0000 1
Tl1 Tl 0.5000 0.5000 0.5000 1
O1 O 0.0000 0.0000 0.0000 1

***

# K2GaAg3Sn4 PBE optimized geometry
# - Formation energy from the elements: -1.12 eV/f.u.
# - Density of states at the Fermi level: 0.3675 states/eV per atom
# - Symmetry: P-4m2
data_K2GaAg3Sn4
_chemical_formula_sum 'K2 Ga1 Ag3 Sn4'
_cell_length_a 4.7320
_cell_length_b 4.7320
_cell_length_c 12.0818
_cell_angle_alpha 90.00
_cell_angle_beta 90.00
_cell_angle_gamma 90.00
_space_group_name_H-M_alt 'P 1'
_space_group_IT_number 1
loop_
_space_group_symop_operation_xyz
'x,y,z'
loop_
_atom_site_label
_atom_site_type_symbol
_atom_site_fract_x
_atom_site_fract_y
_atom_site_fract_z
_atom_site_occupancy
K1 K 0.5000 0.0000 0.2537 1
K2 K 0.0000 0.5000 0.7463 1
Ga1 Ga 0.5000 0.5000 0.5000 1
Ag1 Ag 0.0000 0.0000 0.5000 1
Ag2 Ag 0.5000 0.0000 0.8616 1
Ag3 Ag 0.0000 0.5000 0.1384 1
Sn1 Sn 0.5000 0.5000 0.0000 1
Sn2 Sn 0.0000 0.0000 0.0000 1
Sn3 Sn 0.5000 0.0000 0.6302 1
Sn4 Sn 0.0000 0.5000 0.3698 1

***

# Ce3Ga4Au PBE optimized geometry
# - Formation energy from the elements: -2.74 eV/f.u.
# - Density of states at the Fermi level: 2.3981 states/eV per atom
# - Symmetry: Immm
data_Ce3Ga4Au
_chemical_formula_sum 'Ce3 Ga4 Au1'
_cell_length_a 4.6133
_cell_length_b 6.6645
_cell_length_c 7.7418
_cell_angle_alpha 115.49
_cell_angle_beta 107.33
_cell_angle_gamma 90.00
_space_group_name_H-M_alt 'P 1'
_space_group_IT_number 1
loop_
_space_group_symop_operation_xyz
'x,y,z'
loop_
_atom_site_label
_atom_site_type_symbol
_atom_site_fract_x
_atom_site_fract_y
_atom_site_fract_z
_atom_site_occupancy
Ce1 Ce 0.1802 0.1802 0.3605 1
Ce2 Ce 0.8198 0.8198 0.6395 1
Ce3 Ce 0.0000 0.5000 0.0000 1
Ga1 Ga 0.3782 0.5787 0.7564 1
Ga2 Ga 0.6218 0.4213 0.2436 1
Ga3 Ga 0.6218 0.8223 0.2436 1
Ga4 Ga 0.3782 0.1777 0.7564 1
Au1 Au 0.5000 0.0000 0.0000 1

***

# Cr2SbHPd PBE optimized geometry
# - Density of states at the Fermi level: 0.7476 states/eV per atom
# - Symmetry: P4/mmm
# - Total DFT energy (no corrections): -5.481 eV/atom
data_Cr2SbHPd
_chemical_formula_sum 'Cr2 Sb1 H1 Pd1'
_cell_length_a 5.2350
_cell_length_b 3.5171
_cell_length_c 5.2350
_cell_angle_alpha 90.00
_cell_angle_beta 90.00
_cell_angle_gamma 90.00
_space_group_name_H-M_alt 'P 1'
_space_group_IT_number 1
loop_
_space_group_symop_operation_xyz
'x,y,z'
loop_
_atom_site_label
_atom_site_type_symbol
_atom_site_fract_x
_atom_site_fract_y
_atom_site_fract_z
_atom_site_occupancy
Sb1 Sb 0.0000 0.0000 0.0000 1
H1 H 0.0000 0.5000 0.0000 1
Pd1 Pd 0.5000 0.5000 0.5000 1
Cr1 Cr 0.0000 0.0000 0.5000 1
Cr2 Cr 0.5000 0.0000 0.0000 1

***

# HoErCdHg PBE optimized geometry
# - Formation energy from the elements: -1.58 eV/f.u.
# - Density of states at the Fermi level: 0.9032 states/eV per atom
# - Symmetry: F-43m
data_HoErCdHg
_chemical_formula_sum 'Ho1 Er1 Cd1 Hg1'
_cell_length_a 5.2430
_cell_length_b 5.2430
_cell_length_c 5.2430
_cell_angle_alpha 60.00
_cell_angle_beta 60.00
_cell_angle_gamma 60.00
_space_group_name_H-M_alt 'P 1'
_space_group_IT_number 1
loop_
_space_group_symop_operation_xyz
'x,y,z'
loop_
_atom_site_label
_atom_site_type_symbol
_atom_site_fract_x
_atom_site_fract_y
_atom_site_fract_z
_atom_site_occupancy
Ho1 Ho 0.5000 0.5000 0.5000 1
Cd1 Cd 0.7500 0.7500 0.7500 1
Hg1 Hg 0.2500 0.2500 0.2500 1
Er1 Er 0.0000 0.0000 0.0000 1

***

# CeThAgSb PBE optimized geometry
# - Raw formation energy: -38.0 kJ/mol of atoms
# - Density of states at the Fermi level: 2.3669 states/eV per atom
# - Symmetry: F-43m
data_CeThAgSb
_chemical_formula_sum 'Ce1 Th1 Ag1 Sb1'
_cell_length_a 5.3658
_cell_length_b 5.3658
_cell_length_c 5.3658
_cell_angle_alpha 60.00
_cell_angle_beta 60.00
_cell_angle_gamma 60.00
_space_group_name_H-M_alt 'P 1'
_space_group_IT_number 1
loop_
_space_group_symop_operation_xyz
'x,y,z'
loop_
_atom_site_label
_atom_site_type_symbol
_atom_site_fract_x
_atom_site_fract_y
_atom_site_fract_z
_atom_site_occupancy
Sb1 Sb 0.2500 0.2500 0.2500 1
Ag1 Ag 0.7500 0.7500 0.7500 1
Ce1 Ce 0.5000 0.5000 0.5000 1
Th1 Th 0.0000 0.0000 0.0000 1

***

# NaCdH2 PBE optimized geometry
# - Polymorph energy (0 for the lowest one): 318 meV/atom
# - Density of states at the Fermi level: 0.1211 states/eV per atom
# - Symmetry: Fm-3m
data_NaCdH2
_chemical_formula_sum 'Na1 Cd1 H2'
_cell_length_a 4.2203
_cell_length_b 4.2203
_cell_length_c 4.2203
_cell_angle_alpha 60.00
_cell_angle_beta 60.00
_cell_angle_gamma 60.00
_space_group_name_H-M_alt 'P 1'
_space_group_IT_number 1
loop_
_space_group_symop_operation_xyz
'x,y,z'
loop_
_atom_site_label
_atom_site_type_symbol
_atom_site_fract_x
_atom_site_fract_y
_atom_site_fract_z
_atom_site_occupancy
Na1 Na 0.0000 0.0000 0.0000 1
H1 H 0.2500 0.2500 0.2500 1
H2 H 0.7500 0.7500 0.7500 1
Cd1 Cd 0.5000 0.5000 0.5000 1

***

# TlAsIr2 PBE optimized geometry
# - Polymorph energy (0 for the lowest one): 59 meV/atom
# - Formation energy from the elements: 1.21 eV/f.u.
# - Density of states at the Fermi level: 0.5034 states/eV per atom
# - Symmetry: P2/m
data_TlAsIr2
_chemical_formula_sum 'Tl1 As1 Ir2'
_cell_length_a 3.0702
_cell_length_b 3.0417
_cell_length_c 7.6973
_cell_angle_alpha 79.87
_cell_angle_beta 90.00
_cell_angle_gamma 90.00
_space_group_name_H-M_alt 'P 1'
_space_group_IT_number 1
loop_
_space_group_symop_operation_xyz
'x,y,z'
loop_
_atom_site_label
_atom_site_type_symbol
_atom_site_fract_x
_atom_site_fract_y
_atom_site_fract_z
_atom_site_occupancy
Tl1 Tl 0.5000 0.2500 0.2500 1
Ir1 Ir 0.0000 0.1625 0.9463 1
Ir2 Ir 0.0000 0.3375 0.5537 1
As1 As 0.5000 0.7500 0.7500 1

***

# Pm2HgIO8 PBE optimized geometry
# - Raw formation energy: -149.8 kJ/mol of atoms
# - Density of states at the Fermi level: 0.5296 states/eV per atom
# - Symmetry: C2/m
data_Pm2HgIO8
_chemical_formula_sum 'Pm2 Hg1 I1 O8'
_cell_length_a 4.8091
_cell_length_b 4.8144
_cell_length_c 7.7494
_cell_angle_alpha 86.83
_cell_angle_beta 86.84
_cell_angle_gamma 94.30
_space_group_name_H-M_alt 'P 1'
_space_group_IT_number 1
loop_
_space_group_symop_operation_xyz
'x,y,z'
loop_
_atom_site_label
_atom_site_type_symbol
_atom_site_fract_x
_atom_site_fract_y
_atom_site_fract_z
_atom_site_occupancy
Pm1 Pm 0.4484 0.4489 0.7519 1
Pm2 Pm 0.5516 0.5511 0.2481 1
Hg1 Hg 0.0000 0.0000 0.5000 1
I1 I 0.0000 0.0000 0.0000 1
O1 O 0.1118 0.7476 0.1767 1
O2 O 0.7202 0.7215 0.9549 1
O3 O 0.7485 0.1119 0.1772 1
O4 O 0.8882 0.2524 0.8233 1
O5 O 0.2798 0.2785 0.0451 1
O6 O 0.2515 0.8881 0.8228 1
O7 O 0.6920 0.6916 0.5156 1
O8 O 0.3080 0.3084 0.4844 1

***

# YZnCd PBE optimized geometry
# - Formation energy from the elements: -1.01 eV/f.u.
# - Density of states at the Fermi level: 0.7271 states/eV per atom
# - Symmetry: P-6m2
data_YZnCd
_chemical_formula_sum 'Y1 Zn1 Cd1'
_cell_length_a 4.7223
_cell_length_b 4.7223
_cell_length_c 3.5107
_cell_angle_alpha 90.00
_cell_angle_beta 90.00
_cell_angle_gamma 120.00
_space_group_name_H-M_alt 'P 1'
_space_group_IT_number 1
loop_
_space_group_symop_operation_xyz
'x,y,z'
loop_
_atom_site_label
_atom_site_type_symbol
_atom_site_fract_x
_atom_site_fract_y
_atom_site_fract_z
_atom_site_occupancy
Y1 Y 0.6667 0.3333 0.3334 1
Zn1 Zn 0.3333 0.6667 0.8335 1
Cd1 Cd 0.0000 0.0000 0.8332 1

***

# ScTaN2F PBE optimized geometry
# - Polymorph energy (0 for the lowest one): 2244 meV/atom
# - Raw formation energy: 108.9 kJ/mol of atoms
# - Density of states at the Fermi level: 0.8420 states/eV per atom
# - Symmetry: P4/mmm
data_ScTaN2F
_chemical_formula_sum 'Sc1 Ta1 N2 F1'
_cell_length_a 3.9436
_cell_length_b 5.5888
_cell_length_c 3.9436
_cell_angle_alpha 90.00
_cell_angle_beta 90.00
_cell_angle_gamma 90.00
_space_group_name_H-M_alt 'P 1'
_space_group_IT_number 1
loop_
_space_group_symop_operation_xyz
'x,y,z'
loop_
_atom_site_label
_atom_site_type_symbol
_atom_site_fract_x
_atom_site_fract_y
_atom_site_fract_z
_atom_site_occupancy
Sc1 Sc 0.0000 0.0000 0.0000 1
N1 N 0.0000 0.0000 0.5000 1
N2 N 0.5000 0.0000 0.0000 1
F1 F 0.5000 0.5000 0.5000 1
Ta1 Ta 0.0000 0.5000 0.0000 1

***

# Zn2RuRh PBE optimized geometry
# - Formation energy from the elements: 0.36 eV/f.u.
# - Density of states at the Fermi level: 0.8439 states/eV per atom
# - Symmetry: Cmm2
data_Zn2RuRh
_chemical_formula_sum 'Zn2 Ru1 Rh1'
_cell_length_a 2.7147
_cell_length_b 2.7147
_cell_length_c 8.9675
_cell_angle_alpha 90.00
_cell_angle_beta 90.00
_cell_angle_gamma 119.08
_space_group_name_H-M_alt 'P 1'
_space_group_IT_number 1
loop_
_space_group_symop_operation_xyz
'x,y,z'
loop_
_atom_site_label
_atom_site_type_symbol
_atom_site_fract_x
_atom_site_fract_y
_atom_site_fract_z
_atom_site_occupancy
Rh1 Rh 0.0000 0.0000 0.4985 1
Ru1 Ru 0.5000 0.5000 0.7498 1
Zn1 Zn 0.0000 0.0000 0.9974 1
Zn2 Zn 0.5000 0.5000 0.2543 1

***

# Mg2ZrFe PBE optimized geometry
# - Formation energy from the elements: 0.73 eV/f.u.
# - Density of states at the Fermi level: 0.7003 states/eV per atom
# - Symmetry: R3m
data_Mg2ZrFe
_chemical_formula_sum 'Mg2 Zr1 Fe1'
_cell_length_a 9.4252
_cell_length_b 9.4252
_cell_length_c 9.4252
_cell_angle_alpha 19.36
_cell_angle_beta 19.36
_cell_angle_gamma 19.36
_space_group_name_H-M_alt 'P 1'
_space_group_IT_number 1
loop_
_space_group_symop_operation_xyz
'x,y,z'
loop_
_atom_site_label
_atom_site_type_symbol
_atom_site_fract_x
_atom_site_fract_y
_atom_site_fract_z
_atom_site_occupancy
Fe1 Fe 0.7539 0.7539 0.7539 1
Mg1 Mg 0.0131 0.0131 0.0131 1
Mg2 Mg 0.2485 0.2485 0.2485 1
Zr1 Zr 0.4845 0.4845 0.4845 1

***

# Y4AlZn2Hg PBE optimized geometry
# - Formation energy from the elements: -3.31 eV/f.u.
# - Density of states at the Fermi level: 0.8730 states/eV per atom
# - Symmetry: R-3m
data_Y4AlZn2Hg
_chemical_formula_sum 'Y4 Al1 Zn2 Hg1'
_cell_length_a 5.1296
_cell_length_b 5.1296
_cell_length_c 8.9082
_cell_angle_alpha 73.27
_cell_angle_beta 73.27
_cell_angle_gamma 60.00
_space_group_name_H-M_alt 'P 1'
_space_group_IT_number 1
loop_
_space_group_symop_operation_xyz
'x,y,z'
loop_
_atom_site_label
_atom_site_type_symbol
_atom_site_fract_x
_atom_site_fract_y
_atom_site_fract_z
_atom_site_occupancy
Y1 Y 0.3766 0.3766 0.8701 1
Y2 Y 0.8735 0.8735 0.3795 1
Y3 Y 0.1265 0.1265 0.6205 1
Y4 Y 0.6234 0.6234 0.1299 1
Al1 Al 0.5000 0.5000 0.5000 1
Zn1 Zn 0.7516 0.7516 0.7452 1
Zn2 Zn 0.2484 0.2484 0.2548 1
Hg1 Hg 0.0000 0.0000 0.0000 1

***

# Ca6In2H PBE optimized geometry
# - Density of states at the Fermi level: 0.5027 states/eV per atom
# - Symmetry: P2_1/c
# - Total DFT energy (no corrections): -2.622 eV/atom
data_Ca6In2H
_chemical_formula_sum 'Ca12 In4 H2'
_cell_length_a 6.6478
_cell_length_b 8.6678
_cell_length_c 9.8325
_cell_angle_alpha 90.00
_cell_angle_beta 91.72
_cell_angle_gamma 90.00
_space_group_name_H-M_alt 'P 1'
_space_group_IT_number 1
loop_
_space_group_symop_operation_xyz
'x,y,z'
loop_
_atom_site_label
_atom_site_type_symbol
_atom_site_fract_x
_atom_site_fract_y
_atom_site_fract_z
_atom_site_occupancy
Ca1 Ca 0.9012 0.9727 0.2480 1
Ca2 Ca 0.8573 0.6845 0.5586 1
Ca3 Ca 0.8357 0.6601 0.9464 1
Ca4 Ca 0.6643 0.1601 0.5536 1
Ca5 Ca 0.6427 0.1845 0.9414 1
Ca6 Ca 0.5988 0.4727 0.2520 1
Ca7 Ca 0.0988 0.0273 0.7520 1
Ca8 Ca 0.1427 0.3155 0.4414 1
Ca9 Ca 0.1643 0.3399 0.0536 1
Ca10 Ca 0.3357 0.8399 0.4464 1
Ca11 Ca 0.3573 0.8155 0.0586 1
Ca12 Ca 0.4012 0.5273 0.7480 1
In1 In 0.9466 0.3807 0.7467 1
In2 In 0.5534 0.8807 0.7533 1
In3 In 0.4466 0.1193 0.2467 1
In4 In 0.0534 0.6193 0.2533 1
H1 H 0.5000 0.5000 0.0000 1
H2 H 0.0000 0.0000 0.5000 1

***

# NaTbO PBE optimized geometry
# - Polymorph energy (0 for the lowest one): 0 meV/atom
# - Raw formation energy: -183.6 kJ/mol of atoms
# - Density of states at the Fermi level: 0.5009 states/eV per atom
# - Symmetry: P4/nmm
data_NaTbO
_chemical_formula_sum 'Na2 Tb2 O2'
_cell_length_a 4.0184
_cell_length_b 4.0184
_cell_length_c 9.4214
_cell_angle_alpha 90.00
_cell_angle_beta 90.00
_cell_angle_gamma 90.00
_space_group_name_H-M_alt 'P 1'
_space_group_IT_number 1
loop_
_space_group_symop_operation_xyz
'x,y,z'
loop_
_atom_site_label
_atom_site_type_symbol
_atom_site_fract_x
_atom_site_fract_y
_atom_site_fract_z
_atom_site_occupancy
Tb1 Tb 0.5000 0.0000 0.1104 1
Tb2 Tb 0.0000 0.5000 0.8896 1
Na1 Na 0.5000 0.0000 0.6024 1
Na2 Na 0.0000 0.5000 0.3976 1
O1 O 0.5000 0.5000 0.0000 1
O2 O 0.0000 0.0000 0.0000 1